# Na3TlAg

Crystalline Na3TlAg at its relaxed geometry (PBE, Alexandria).

Computed properties:
The excess energy over the best structure of this formula in the dataset is 0.91 eV per formula unit. As for the formation energy: 0.13 eV per atom.

```
data_Na3TlAg
_chemical_formula_sum 'Na3 Tl1 Ag1'
_symmetry_space_group_name_H-M 'P m -3 m'
_symmetry_Int_Tables_number 221
_symmetry_space_group_name_Hall '-P 4 2 3'
_cell_length_a 5.592
_cell_length_b 5.592
_cell_length_c 5.592
_cell_angle_alpha 90.00
_cell_angle_beta 90.00
_cell_angle_gamma 90.00
loop_
_atom_site_label
_atom_site_fract_x
_atom_site_fract_y
_atom_site_fract_z
Na1 0.000 0.000 0.500
Tl1 0.500 0.500 0.500
Ag1 0.000 0.000 0.000
```

=====

# Na2Tl2Ag

Crystalline Na2Tl2Ag at its relaxed geometry (PBE, Alexandria).

Computed properties:
The excess energy over the best structure of this formula in the dataset is 0.27 eV per formula unit. As for the formation energy: 0.00 eV per atom.

```
data_Na2Tl2Ag
_chemical_formula_sum 'Na4 Tl4 Ag2'
_symmetry_space_group_name_H-M 'P 4/m b m'
_symmetry_Int_Tables_number 127
_symmetry_space_group_name_Hall '-P 4 2ab'
_cell_length_a 7.541
_cell_length_b 7.541
_cell_length_c 5.044
_cell_angle_alpha 90.00
_cell_angle_beta 90.00
_cell_angle_gamma 90.00
loop_
_atom_site_label
_atom_site_fract_x
_atom_site_fract_y
_atom_site_fract_z
Na1 0.168 0.332 0.000
Tl1 0.144 0.644 0.500
Ag1 0.000 0.000 0.500
```

=====

# Na5Tl2Ag2

Crystalline Na5Tl2Ag2 at its relaxed geometry (PBE, Alexandria).

Computed properties:
As for the formation energy: 0.00 eV per atom.

```
data_Na5Tl2Ag2
_chemical_formula_sum 'Na20 Tl8 Ag8'
_symmetry_space_group_name_H-M 'C m c e'
_symmetry_Int_Tables_number 64
_symmetry_space_group_name_Hall '-C 2ac 2'
_cell_length_a 18.921
_cell_length_b 7.344
_cell_length_c 7.354
_cell_angle_alpha 90.00
_cell_angle_beta 90.00
_cell_angle_gamma 90.00
loop_
_atom_site_label
_atom_site_fract_x
_atom_site_fract_y
_atom_site_fract_z
Na1 0.000 0.000 0.000
Na2 0.123 0.180 0.320
Tl1 0.235 0.000 0.000
Ag1 0.000 0.129 0.630
```

=====

Repeat the third record exactly.
# Na5Tl2Ag2

Crystalline Na5Tl2Ag2 at its relaxed geometry (PBE, Alexandria).

Computed properties:
As for the formation energy: 0.00 eV per atom.

```
data_Na5Tl2Ag2
_chemical_formula_sum 'Na20 Tl8 Ag8'
_symmetry_space_group_name_H-M 'C m c e'
_symmetry_Int_Tables_number 64
_symmetry_space_group_name_Hall '-C 2ac 2'
_cell_length_a 18.921
_cell_length_b 7.344
_cell_length_c 7.354
_cell_angle_alpha 90.00
_cell_angle_beta 90.00
_cell_angle_gamma 90.00
loop_
_atom_site_label
_atom_site_fract_x
_atom_site_fract_y
_atom_site_fract_z
Na1 0.000 0.000 0.000
Na2 0.123 0.180 0.320
Tl1 0.235 0.000 0.000
Ag1 0.000 0.129 0.630
```